A | # GaAu2N, relaxed, DFT GGA-PBE
# Space group ... I-42d
# Crystal system ... tetragonal
data_GaAu2N
_cell_length_a 7.0634
_cell_length_b 7.0634
_cell_length_c 7.0634
_cell_angle_alpha 136.92
_cell_angle_beta 136.92
_cell_angle_gamma 62.56
_space_group_name_H-M_alt 'P 1'
_space_group_IT_number 1
_space_group_name_Hall 'P 1'
loop_
_atom_site_label
_atom_site_fract_x
_atom_site_fract_y
_atom_site_fract_z
Ga1 0.0000 0.0000 0.0000
Ga2 0.7500 0.2500 0.5000
Au1 0.2558 0.6250 0.1308
Au2 0.3750 0.5058 0.6308
Au3 0.4942 0.1250 0.8692
Au4 0.8750 0.7442 0.3692
N1 0.2500 0.7500 0.5000
N2 0.5000 0.5000 0.0000

B | # GaAu2N, relaxed, DFT GGA-PBE
# Space group ... Fm-3m
# Crystal system ... cubic
data_GaAu2N
_cell_length_a 4.3683
_cell_length_b 4.3683
_cell_length_c 4.3683
_cell_angle_alpha 60.00
_cell_angle_beta 60.00
_cell_angle_gamma 60.00
_space_group_name_H-M_alt 'P 1'
_space_group_IT_number 1
_space_group_name_Hall 'P 1'
loop_
_atom_site_label
_atom_site_fract_x
_atom_site_fract_y
_atom_site_fract_z
Ga1 0.0000 0.0000 0.0000
Au1 0.2500 0.2500 0.2500
Au2 0.7500 0.7500 0.7500
N1 0.5000 0.5000 0.5000

Name the least stable of them. B.